## P
Here is a relaxed SrAlF2 crystal from Alexandria. Energies are from GGA-PBE.

The space group is I-42d (No. 122) and the conventional cell measures 6.070, 6.070 and 11.713 Å, with angles of 90.00, 90.00 and 90.00 degrees. The asymmetric unit holds Sr at (0.000, 0.000, 0.000), Al at (0.000, 0.000, 0.500) and F at (0.162, 0.250, 0.125).

The density of states at the Fermi level comes out at 0.38 states/eV/atom.

***

## Q
Here is a relaxed SrAlF2 crystal from Alexandria. Energies are from GGA-PBE.

The space group is R-3m (No. 166, hexagonal axes) and the conventional cell measures 4.4310, 4.4310 and 12.8888 Å, with angles of 90.00, 90.00 and 120.00 degrees. The asymmetric unit holds Sr at (0.0000, 0.0000, 0.0000), Al at (0.0000, 0.0000, 0.5000) and F at (0.0000, 0.0000, 0.1994).

The density of states at the Fermi level comes out at 0.12 states/eV/atom.

***

Of the structures shown above, Q is the least stable.